*a*
First-principles (PBE-GGA) data for a relaxed Ag2RuF crystal, as listed in the Alexandria database.

Structure (POSCAR):
```
Ag2RuF
1.0
4.974 -0.008 0.005
1.000 5.196 0.004
2.366 1.051 4.970
Ag F Ru
4 2 2
direct
0.283 0.297 0.394
0.826 0.102 0.945
0.306 0.877 0.096
0.812 0.517 0.239
0.215 0.804 0.616
0.782 0.961 0.457
0.785 0.619 0.729
0.357 0.446 0.824
```

**N(E_F)**: 0.716 states/eV per atom

***

*b*
First-principles (PBE-GGA) data for a relaxed Ag2RuF crystal, as listed in the Alexandria database.

Structure (POSCAR):
```
Ag2RuF
1.0
4.970 0.000 -0.037
0.000 2.717 0.000
-4.879 0.000 9.367
Ag F Ru
4 2 2
direct
0.097 0.000 0.652
0.097 0.500 0.152
0.385 0.500 0.938
0.385 0.000 0.438
0.658 0.500 0.713
0.658 0.000 0.213
0.835 0.000 0.888
0.835 0.500 0.388
```

**N(E_F)**: 0.589 states/eV per atom

***

Relative energies, in meV/atom, with the most stable structure set to zero: *a* 0; *b* 31.

***

*a*
First-principles (PBE-GGA) data for a relaxed ZnAgRu2F crystal, as listed in the Alexandria database.

Structure (POSCAR):
```
ZnAgRu2F
1.0
5.058 0.000 0.000
0.000 4.043 0.000
0.000 0.000 5.058
F Ag Ru Zn
1 1 2 1
direct
0.000 0.500 0.000
0.000 0.000 0.000
0.500 0.000 0.000
0.000 0.000 0.500
0.500 0.500 0.500
```

**N(E_F)**: 1.323 states/eV per atom

***

*b*
First-principles (PBE-GGA) data for a relaxed ZnAgRu2F crystal, as listed in the Alexandria database.

Structure (POSCAR):
```
ZnAgRu2F
1.0
4.683 0.000 0.000
0.000 4.819 0.000
0.000 0.000 4.683
Zn Ru F Ag
1 2 1 1
direct
0.000 0.000 0.000
0.500 0.000 0.000
0.000 0.000 0.500
0.500 0.500 0.500
0.000 0.500 0.000
```

**N(E_F)**: 1.649 states/eV per atom

***

Relative energies, in meV/atom, with the most stable structure set to zero: *a* 101; *b* 0.

***

*a*
First-principles (PBE-GGA) data for a relaxed AgS2F crystal, as listed in the Alexandria database.

Structure (POSCAR):
```
AgS2F
1.0
-1.705 2.683 -1.823
-2.267 -2.459 -1.498
-8.780 1.374 6.550
S F Ag
4 2 2
direct
0.875 0.983 0.750
0.375 0.267 0.750
0.733 0.125 0.250
0.017 0.625 0.250
0.500 0.500 0.000
0.250 0.750 0.500
0.000 0.000 0.000
0.750 0.250 0.500
```

**N(E_F)**: 0.030 states/eV per atom

***

*b*
First-principles (PBE-GGA) data for a relaxed AgS2F crystal, as listed in the Alexandria database.

Structure (POSCAR):
```
AgS2F
1.0
1.623 0.000 8.766
-0.811 1.405 8.766
-0.811 -1.405 8.766
S F Ag
2 1 1
direct
0.922 0.922 0.922
0.078 0.078 0.078
0.000 0.000 0.000
0.500 0.500 0.500
```

**N(E_F)**: 0.454 states/eV per atom

***

*c*
First-principles (PBE-GGA) data for a relaxed AgS2F crystal, as listed in the Alexandria database.

Structure (POSCAR):
```
AgS2F
1.0
-1.166 -1.558 -3.126
3.131 -1.778 -0.281
-1.022 -4.254 15.505
S Ag F
4 2 2
direct
0.395 0.619 0.185
0.605 0.119 0.815
0.911 0.017 0.121
0.089 0.517 0.879
0.089 0.100 0.611
0.911 0.600 0.389
0.510 0.109 0.417
0.490 0.609 0.583
```

**N(E_F)**: 0.564 states/eV per atom

***

*d*
First-principles (PBE-GGA) data for a relaxed AgS2F crystal, as listed in the Alexandria database.

Structure (POSCAR):
```
AgS2F
1.0
0.000 3.093 3.093
3.093 0.000 3.093
3.093 3.093 0.000
S F Ag
2 1 1
direct
0.250 0.250 0.250
0.750 0.750 0.750
0.000 0.000 0.000
0.500 0.500 0.500
```

**N(E_F)**: 0.729 states/eV per atom

***

Relative energies, in meV/atom, with the most stable structure set to zero: *a* 151; *b* 637; *c* 0; *d* 624.

***

*a*
First-principles (PBE-GGA) data for a relaxed Ag4SF crystal, as listed in the Alexandria database.

Structure (POSCAR):
```
Ag4SF
1.0
-3.311 -1.925 4.963
5.971 -3.354 -1.356
0.447 2.978 5.774
Ag F S
8 2 2
direct
0.494 0.689 0.934
0.859 0.509 0.315
0.356 0.994 0.362
0.869 0.112 0.965
0.131 0.888 0.035
0.141 0.491 0.685
0.644 0.006 0.638
0.506 0.311 0.066
0.001 0.276 0.358
0.999 0.724 0.642
0.641 0.711 0.273
0.359 0.289 0.727
```

**N(E_F)**: 0.044 states/eV per atom

***

*b*
First-principles (PBE-GGA) data for a relaxed Ag4SF crystal, as listed in the Alexandria database.

Structure (POSCAR):
```
Ag4SF
1.0
6.888 0.362 0.000
-2.450 6.447 0.000
-2.219 -3.404 5.573
S Ag F
2 8 2
direct
0.731 0.731 0.000
0.481 0.981 0.500
0.247 0.955 0.708
0.821 0.003 0.818
0.753 0.436 0.682
0.705 0.497 0.208
0.186 0.003 0.182
0.289 0.497 0.792
0.753 0.071 0.318
0.247 0.539 0.292
0.268 0.268 0.000
0.018 0.518 0.500
```

**N(E_F)**: 0.217 states/eV per atom

***

Relative energies, in meV/atom, with the most stable structure set to zero: *a* 0; *b* 213.

***

*a*
First-principles (PBE-GGA) data for a relaxed AgSbF2 crystal, as listed in the Alexandria database.

Structure (POSCAR):
```
AgSbF2
1.0
8.539 0.030 0.018
7.957 3.099 0.018
7.957 1.509 2.706
F Ag Sb
2 1 1
direct
0.906 0.906 0.906
0.094 0.094 0.094
0.000 0.000 0.000
0.500 0.500 0.500
```

**N(E_F)**: 0.400 states/eV per atom

***

*b*
First-principles (PBE-GGA) data for a relaxed AgSbF2 crystal, as listed in the Alexandria database.

Structure (POSCAR):
```
AgSbF2
1.0
0.000 3.159 3.159
3.159 0.000 3.159
3.159 3.159 0.000
F Sb Ag
2 1 1
direct
0.250 0.250 0.250
0.750 0.750 0.750
0.500 0.500 0.500
0.000 0.000 0.000
```

**N(E_F)**: 0.006 states/eV per atom

***

*c*
First-principles (PBE-GGA) data for a relaxed AgSbF2 crystal, as listed in the Alexandria database.

Structure (POSCAR):
```
AgSbF2
1.0
-2.988 0.186 5.837
-2.019 1.661 -6.016
0.478 -6.497 -0.770
F Ag Sb
4 2 2
direct
0.062 0.375 0.187
0.188 0.875 0.813
0.625 0.812 0.687
0.125 0.938 0.313
0.750 0.250 0.500
0.500 0.500 0.000
0.000 0.000 0.000
0.250 0.750 0.500
```

**N(E_F)**: 0.012 states/eV per atom

***

Relative energies, in meV/atom, with the most stable structure set to zero: *a* 147; *b* 287; *c* 0.

***

*a*
First-principles (PBE-GGA) data for a relaxed Ag2SbF crystal, as listed in the Alexandria database.

Structure (POSCAR):
```
Ag2SbF
1.0
3.174 0.694 3.406
-1.387 0.270 4.490
1.035 -3.479 2.996
F Sb Ag
1 1 2
direct
0.000 0.000 0.000
0.500 0.500 0.500
0.250 0.250 0.250
0.750 0.750 0.750
```

**N(E_F)**: 0.752 states/eV per atom

***

*b*
First-principles (PBE-GGA) data for a relaxed Ag2SbF crystal, as listed in the Alexandria database.

Structure (POSCAR):
```
Ag2SbF
1.0
-7.021 -0.986 1.792
2.044 -3.647 6.000
-2.456 0.107 5.358
Sb Ag F
2 4 2
direct
0.000 0.000 0.000
0.750 0.250 0.500
0.586 0.125 0.250
0.875 0.836 0.750
0.164 0.625 0.250
0.375 0.414 0.750
0.250 0.750 0.500
0.500 0.500 0.000
```

**N(E_F)**: 0.268 states/eV per atom

***

Relative energies, in meV/atom, with the most stable structure set to zero: *a* 105; *b* 0.

***

*a*
First-principles (PBE-GGA) data for a relaxed AgSb3F crystal, as listed in the Alexandria database.

Structure (POSCAR):
```
AgSb3F
1.0
-0.779 0.952 -4.777
3.266 -3.486 -1.227
-3.613 -3.357 -0.080
Ag Sb F
1 3 1
direct
0.500 0.500 0.500
0.500 0.000 0.000
0.000 0.000 0.500
0.000 0.500 0.000
0.000 0.000 0.000
```

**N(E_F)**: 0.639 states/eV per atom

***

*b*
First-principles (PBE-GGA) data for a relaxed AgSb3F crystal, as listed in the Alexandria database.

Structure (POSCAR):
```
AgSb3F
1.0
5.352 0.000 0.000
0.000 5.352 0.000
0.000 0.000 5.352
F Sb Ag
1 3 1
direct
0.500 0.500 0.500
0.000 0.000 0.500
0.500 0.000 0.000
0.000 0.500 0.000
0.000 0.000 0.000
```

**N(E_F)**: 0.884 states/eV per atom

***

Relative energies, in meV/atom, with the most stable structure set to zero: *a* 0; *b* 380.

***

*a*
First-principles (PBE-GGA) data for a relaxed ScAg3F crystal, as listed in the Alexandria database.

Structure (POSCAR):
```
ScAg3F
1.0
4.647 0.000 0.000
0.000 4.647 0.000
0.000 0.000 4.647
Ag Sc F
3 1 1
direct
0.000 0.500 0.000
0.000 0.000 0.500
0.500 0.000 0.000
0.500 0.500 0.500
0.000 0.000 0.000
```

**N(E_F)**: 1.101 states/eV per atom

***

*b*
First-principles (PBE-GGA) data for a relaxed ScAg3F crystal, as listed in the Alexandria database.

Structure (POSCAR):
```
ScAg3F
1.0
5.309 0.000 0.000
0.000 5.309 0.000
0.000 0.000 5.309
Sc Ag F
1 3 1
direct
0.000 0.000 0.000
0.000 0.500 0.000
0.500 0.000 0.000
0.000 0.000 0.500
0.500 0.500 0.500
```

**N(E_F)**: 1.932 states/eV per atom

***

Relative energies, in meV/atom, with the most stable structure set to zero: *a* 0; *b* 736.

***

*a*
First-principles (PBE-GGA) data for a relaxed ScAgF2 crystal, as listed in the Alexandria database.

Structure (POSCAR):
```
ScAgF2
1.0
-3.764 8.346 -2.554
-3.616 8.779 0.468
-1.173 9.346 -1.279
Sc F Ag
1 2 1
direct
0.500 0.500 0.500
0.123 0.123 0.123
0.877 0.877 0.877
0.000 0.000 0.000
```

**N(E_F)**: 0.480 states/eV per atom

***

*b*
First-principles (PBE-GGA) data for a relaxed ScAgF2 crystal, as listed in the Alexandria database.

Structure (POSCAR):
```
ScAgF2
1.0
-3.920 -1.610 -0.808
-3.139 0.391 2.933
-3.316 2.661 -0.731
F Ag Sc
2 1 1
direct
0.750 0.750 0.750
0.250 0.250 0.250
0.500 0.500 0.500
0.000 0.000 0.000
```

**N(E_F)**: 0.072 states/eV per atom

***

Relative energies, in meV/atom, with the most stable structure set to zero: *a* 0; *b* 619.

***

*a*
First-principles (PBE-GGA) data for a relaxed ScAgF2 crystal, as listed in the Alexandria database.

Structure (POSCAR):
```
ScAgF2
1.0
-3.797 2.212 -3.330
2.907 -1.624 -4.394
-3.260 -4.613 -3.911
Ag F Sc
2 4 2
direct
0.000 0.000 0.000
0.750 0.250 0.500
0.376 0.125 0.250
0.374 0.625 0.250
0.375 0.624 0.750
0.875 0.626 0.750
0.250 0.750 0.500
0.500 0.500 0.000
```

**N(E_F)**: 0.189 states/eV per atom

***

*b*
First-principles (PBE-GGA) data for a relaxed ScAgF2 crystal, as listed in the Alexandria database.

Structure (POSCAR):
```
ScAgF2
1.0
-5.558 -5.422 0.719
-2.884 -6.976 1.956
-4.650 -4.911 3.882
F Ag Sc
2 1 1
direct
0.913 0.913 0.913
0.087 0.087 0.087
0.500 0.500 0.500
0.000 0.000 0.000
```

**N(E_F)**: 0.278 states/eV per atom

***

Relative energies, in meV/atom, with the most stable structure set to zero: *a* 0; *b* 398.

***

*a*
First-principles (PBE-GGA) data for a relaxed Sc3AgF crystal, as listed in the Alexandria database.

Structure (POSCAR):
```
Sc3AgF
1.0
-1.556 4.430 -2.270
0.177 -2.328 -4.663
-4.974 -1.468 0.544
Sc F Ag
3 1 1
direct
0.000 0.500 0.000
0.000 0.000 0.500
0.500 0.000 0.000
0.500 0.500 0.500
0.000 0.000 0.000
```

**N(E_F)**: 1.562 states/eV per atom

***

*b*
First-principles (PBE-GGA) data for a relaxed Sc3AgF crystal, as listed in the Alexandria database.

Structure (POSCAR):
```
Sc3AgF
1.0
-0.641 0.978 4.334
-3.244 -3.096 0.219
3.037 -3.101 1.149
Sc F Ag
3 1 1
direct
0.000 0.500 0.000
0.000 0.000 0.500
0.500 0.000 0.000
0.000 0.000 0.000
0.500 0.500 0.500
```

**N(E_F)**: 0.558 states/eV per atom

***

Relative energies, in meV/atom, with the most stable structure set to zero: *a* 1013; *b* 0.

***

*a*
First-principles (PBE-GGA) data for a relaxed ScAg2F2 crystal, as listed in the Alexandria database.

Structure (POSCAR):
```
ScAg2F2
1.0
5.502 0.000 0.000
0.000 5.502 0.000
0.000 0.000 5.898
F Ag Sc
4 4 2
direct
0.314 0.814 0.000
0.814 0.686 0.000
0.686 0.186 0.000
0.186 0.314 0.000
0.188 0.688 0.500
0.812 0.312 0.500
0.688 0.812 0.500
0.312 0.188 0.500
0.500 0.500 0.000
0.000 0.000 0.000
```

**N(E_F)**: 0.288 states/eV per atom

***

*b*
First-principles (PBE-GGA) data for a relaxed ScAg2F2 crystal, as listed in the Alexandria database.

Structure (POSCAR):
```
ScAg2F2
1.0
-2.559 2.344 -0.653
-2.352 -2.141 1.533
-1.126 3.409 7.102
Ag F Sc
2 2 1
direct
0.750 0.250 0.500
0.250 0.750 0.500
0.576 0.576 0.848
0.424 0.424 0.152
0.000 0.000 0.000
```

**N(E_F)**: 0.600 states/eV per atom

***

Relative energies, in meV/atom, with the most stable structure set to zero: *a* 0; *b* 887.